LaCeRu2: optimized geometry, GGA-PBE.

POSCAR file:
```
LaCeRu2
1.0
-3.549 -3.327 4.254
6.320 -1.216 -0.587
1.513 5.263 5.380
La Ce Ru
3 3 6
Direct
0.384 0.384 0.000
0.000 0.616 0.667
0.616 0.000 0.333
0.215 0.215 0.500
0.000 0.785 0.167
0.785 0.000 0.833
0.845 0.317 0.015
0.473 0.155 0.682
0.683 0.527 0.349
0.317 0.845 0.985
0.155 0.473 0.318
0.527 0.683 0.651
```

Results
The magnetic moment comes out at 0.00 μB/f.u. The value obtained for the calculated formation energy is -0.22 eV/atom. The value obtained for the total energy is -7.570 eV per atom. The crystal system is trigonal.